Entry from Alexandria via LeMat-Bulk: a geometry-optimized TaOs2Ru structure (PBE).

Summary:
- E above lowest polymorph (meV/atom) = 336.4
- total energy (eV per atom) = -10.721
- space group = P4/mmm (123)

a = 4.495 Å, b = 4.495 Å, c = 3.032 Å
α = 90.00°, β = 90.00°, γ = 90.00°
Fractional positions:
Ta 0.000 0.500 0.500
Os 0.000 0.000 0.000
Os 0.500 0.500 0.000
Ru 0.500 0.000 0.500

---

Entry from Alexandria via LeMat-Bulk: a geometry-optimized Nd6DyY2Mg structure (PBE).

Summary:
- total energy (eV per atom) = -4.666
- space group = C2/c (15)

a = 9.461 Å, b = 8.647 Å, c = 8.647 Å
α = 105.32°, β = 96.33°, γ = 96.33°
Fractional positions:
Nd 0.904 0.327 0.568
Nd 0.096 0.673 0.432
Nd 0.404 0.568 0.327
Nd 0.078 0.077 0.743
Nd 0.596 0.432 0.673
Nd 0.922 0.923 0.257
Nd 0.171 0.536 0.964
Nd 0.422 0.257 0.923
Nd 0.329 0.036 0.464
Nd 0.829 0.464 0.036
Nd 0.671 0.964 0.536
Nd 0.578 0.743 0.077
Dy 0.250 0.933 0.067
Dy 0.750 0.067 0.933
Y 0.904 0.734 0.802
Y 0.596 0.198 0.266
Y 0.096 0.266 0.198
Y 0.404 0.802 0.734
Mg 0.250 0.403 0.597
Mg 0.750 0.597 0.403

---

Entry from Alexandria via LeMat-Bulk: a geometry-optimized RbMg3Sn structure (PBE).

Summary:
- E above lowest polymorph (meV/atom) = 0.0
- total energy (eV per atom) = -1.714
- space group = Pm-3m (221)

a = 5.746 Å, b = 5.746 Å, c = 5.746 Å
α = 90.00°, β = 90.00°, γ = 90.00°
Fractional positions:
Sn 0.000 0.000 0.000
Mg 0.500 0.000 0.000
Mg 0.000 0.000 0.500
Mg 0.000 0.500 0.000
Rb 0.500 0.500 0.500

---

Entry from Alexandria via LeMat-Bulk: a geometry-optimized Th3B7W structure (PBE).

Summary:
- total energy (eV per atom) = -7.884
- space group = Cmcm (63)

a = 3.745 Å, b = 8.436 Å, c = 9.617 Å
α = 90.00°, β = 90.00°, γ = 102.83°
Fractional positions:
B 0.476 0.952 0.402
B 0.524 0.048 0.902
B 0.276 0.553 0.467
B 0.465 0.929 0.750
B 0.724 0.447 0.533
B 0.633 0.265 0.653
B 0.476 0.952 0.098
B 0.367 0.735 0.153
B 0.535 0.071 0.250
B 0.367 0.735 0.347
B 0.276 0.553 0.033
B 0.524 0.048 0.598
B 0.724 0.447 0.967
B 0.633 0.265 0.847
Th 0.244 0.488 0.750
Th 0.104 0.209 0.062
Th 0.896 0.791 0.938
Th 0.104 0.209 0.438
Th 0.756 0.512 0.250
Th 0.896 0.791 0.562
W 0.055 0.111 0.750
W 0.945 0.889 0.250

---

no.,ΔE_f (meV per atom)
1,176
2,107
3,236
4,-433